## AlBPS2 (PBE)

Data for a geometry-optimized AlBPS2 structure.

Output
Crystal system: tetragonal
Symmetry: P4/mmm (123)

Cell lengths 4.6021, 4.6021, 4.6535 Å; angles 90.00, 90.00, 90.00 degrees
Last column: nearest neighbours and their distance in Å.
Positions (direct):
Al 0.0000 0.0000 0.0000  4 S 2.30, 2 P 2.33
B 0.5000 0.5000 0.5000  4 P 3.25, 8 S 3.27
P 0.0000 0.0000 0.5000  2 Al 2.33
S 0.0000 0.5000 0.0000  2 Al 2.30
S 0.5000 0.0000 0.0000  2 Al 2.30

***

## AlGeAs2Se (PBE)

Data for a geometry-optimized AlGeAs2Se structure.

Output
Crystal system: tetragonal
Symmetry: P4/mmm (123)

Cell lengths 4.8389, 4.8389, 4.9402 Å; angles 90.00, 90.00, 90.00 degrees
Last column: nearest neighbours and their distance in Å.
Positions (direct):
Al 0.0000 0.0000 0.0000  4 As 2.42, 2 Se 2.47
Ge 0.5000 0.5000 0.5000  4 Se 3.42, 8 As 3.46
As 0.0000 0.5000 0.0000  2 Al 2.42
As 0.5000 0.0000 0.0000  2 Al 2.42
Se 0.0000 0.0000 0.5000  2 Al 2.47

***

Raw formation energy: 5.71; 2.18 (eV per formula unit)
Magnetization: 0.305; 0.000 (Bohr magnetons per cell)